Computed, not measured: a geometry-optimized P2WO4 structure at the GGA+U level of DFT.

It has space group I4/mmm (No. 139), with a = 4.135 Å, b = 4.135 Å, c = 11.017 Å, α = 90.00°, β = 90.00° and γ = 90.00°. The inequivalent atoms are P at (0.000, 0.000, 0.162), W at (0.000, 0.000, 0.500), O at (0.000, 0.000, 0.302) and O at (0.000, 0.500, 0.000).

As for the total energy: -6.2382 eV/atom.